[1]
# TmAl4Ru, relaxed, DFT PBE
# DFT formation energy = -164 kJ/mol of formula units
# magnetization = 0.0 μB per cell
# VASP energy = -0.3726 Ry/atom
data_TmAl4Ru
_cell_length_a 9.3863
_cell_length_b 9.3797
_cell_length_c 7.1375
_cell_angle_alpha 90.00
_cell_angle_beta 131.02
_cell_angle_gamma 90.00
_space_group_name_H-M_alt 'C 1 2/m 1'
_space_group_IT_number 12
loop_
_space_group_symop_operation_xyz
'x,y,z'
'-x,-y,-z'
'-x,y,-z'
'x,-y,z'
'x+1/2,y+1/2,z'
'-x+1/2,-y+1/2,-z'
'-x+1/2,y+1/2,-z'
'x+1/2,-y+1/2,z'
loop_
_atom_site_label
_atom_site_fract_x
_atom_site_fract_y
_atom_site_fract_z
Tm1 0.2500 0.2500 0.0000
Al1 0.0161 0.0000 0.3300
Al2 0.1644 0.3506 0.3291
Al3 0.1857 0.5000 0.6702
Ru1 0.0000 0.2499 0.5000

---

[2]
# TaVCo2Br, relaxed, DFT PBE
# magnetization = 1.0 μB per cell
# VASP energy = -0.4490 Ry/atom
data_TaVCo2Br
_cell_length_a 4.2542
_cell_length_b 4.2542
_cell_length_c 4.5545
_cell_angle_alpha 90.00
_cell_angle_beta 90.00
_cell_angle_gamma 90.00
_space_group_name_H-M_alt 'P 4/m m m'
_space_group_IT_number 123
_space_group_name_Hall '-P 4 2'
loop_
_atom_site_label
_atom_site_fract_x
_atom_site_fract_y
_atom_site_fract_z
Ta1 0.0000 0.0000 0.0000
V1 0.5000 0.5000 0.5000
Co1 0.0000 0.5000 0.5000
Br1 0.5000 0.5000 0.0000

---

[3]
# TaNiSbTe2, relaxed, DFT PBE
# magnetization = 1.0 μB per cell
# VASP energy = -0.3485 Ry/atom
# offset from the most stable computed form = 52 meV per atom
data_TaNiSbTe2
_cell_length_a 5.3396
_cell_length_b 5.3396
_cell_length_c 5.4010
_cell_angle_alpha 90.00
_cell_angle_beta 90.00
_cell_angle_gamma 90.00
_space_group_name_H-M_alt 'P 4/m m m'
_space_group_IT_number 123
_space_group_name_Hall '-P 4 2'
loop_
_atom_site_label
_atom_site_fract_x
_atom_site_fract_y
_atom_site_fract_z
Ta1 0.0000 0.0000 0.0000
Ni1 0.5000 0.5000 0.5000
Sb1 0.0000 0.0000 0.5000
Te1 0.0000 0.5000 0.0000

---

[4]
# Pr2Sm2Cd3, relaxed, DFT PBE
# DFT formation energy = -76 kJ/mol of formula units
# magnetization = 0.0 μB per cell
# VASP energy = -0.2365 Ry/atom
data_Pr2Sm2Cd3
_cell_length_a 9.5311
_cell_length_b 9.5311
_cell_length_c 9.5311
_cell_angle_alpha 90.00
_cell_angle_beta 90.00
_cell_angle_gamma 90.00
_space_group_name_H-M_alt 'I 21 3'
_space_group_IT_number 199
_space_group_name_Hall 'I 2b 2c 3'
loop_
_atom_site_label
_atom_site_fract_x
_atom_site_fract_y
_atom_site_fract_z
Pr1 0.1715 0.1715 0.1715
Sm1 0.0728 0.4272 0.5728
Cd1 0.0000 0.2500 0.8665

---

[5]
# LaTb2Y6, relaxed, DFT PBE
# DFT formation energy = 173 kJ/mol of formula units
# magnetization = 0.0 μB per cell
# VASP energy = -0.4180 Ry/atom
# offset from the most stable computed form = 105 meV per atom
data_LaTb2Y6
_cell_length_a 11.5781
_cell_length_b 3.4402
_cell_length_c 15.4488
_cell_angle_alpha 90.00
_cell_angle_beta 99.31
_cell_angle_gamma 90.00
_space_group_name_H-M_alt 'C 1 2/m 1'
_space_group_IT_number 12
loop_
_space_group_symop_operation_xyz
'x,y,z'
'-x,-y,-z'
'-x,y,-z'
'x,-y,z'
'x+1/2,y+1/2,z'
'-x+1/2,-y+1/2,-z'
'-x+1/2,y+1/2,-z'
'x+1/2,-y+1/2,z'
loop_
_atom_site_label
_atom_site_fract_x
_atom_site_fract_y
_atom_site_fract_z
La1 0.0000 0.0000 0.0000
Tb1 0.1670 0.5000 0.6655
Y1 0.0426 0.0000 0.2321
Y2 0.1246 0.5000 0.4389
Y3 0.2091 0.5000 0.8928

---

[6]
# La10Tm4Th, relaxed, DFT PBE
# DFT formation energy = 292 kJ/mol of formula units
# magnetization = 0.0 μB per cell
# VASP energy = -0.3506 Ry/atom
data_La10Tm4Th
_cell_length_a 11.3933
_cell_length_b 11.3933
_cell_length_c 8.1446
_cell_angle_alpha 90.00
_cell_angle_beta 90.00
_cell_angle_gamma 90.00
_space_group_name_H-M_alt 'I 4/m m m'
_space_group_IT_number 139
_space_group_name_Hall '-I 4 2'
loop_
_atom_site_label
_atom_site_fract_x
_atom_site_fract_y
_atom_site_fract_z
La1 0.0000 0.2168 0.2066
La2 0.0000 0.5000 0.2500
Tm1 0.2242 0.2242 0.5000
Th1 0.0000 0.0000 0.5000

---

[7]
# Y3Tm6In, relaxed, DFT PBE
# DFT formation energy = 66 kJ/mol of formula units
# magnetization = 0.0 μB per cell
# VASP energy = -0.3548 Ry/atom
# offset from the most stable computed form = 140 meV per atom
data_Y3Tm6In
_cell_length_a 13.3475
_cell_length_b 13.5337
_cell_length_c 6.9342
_cell_angle_alpha 90.00
_cell_angle_beta 90.00
_cell_angle_gamma 90.00
_space_group_name_H-M_alt 'C m c 21'
_space_group_IT_number 36
loop_
_space_group_symop_operation_xyz
'x,y,z'
'-x,-y,z+1/2'
'-x,y,z'
'x,-y,z+1/2'
'x+1/2,y+1/2,z'
'-x+1/2,-y+1/2,z+1/2'
'-x+1/2,y+1/2,z'
'x+1/2,-y+1/2,z+1/2'
loop_
_atom_site_label
_atom_site_fract_x
_atom_site_fract_y
_atom_site_fract_z
Y1 0.0000 0.1901 0.0000
Y2 0.1765 0.4357 0.9919
Tm1 0.0000 0.1734 0.4979
Tm2 0.0000 0.3956 0.2994
Tm3 0.1226 0.0050 0.7506
Tm4 0.2250 0.3104 0.5157
In1 0.0000 0.3775 0.7213

---

[8]
# LiCaCrH2, relaxed, DFT PBE
# magnetization = 4.1 μB per cell
# VASP energy = -0.2661 Ry/atom
# offset from the most stable computed form = 0 meV per atom
data_LiCaCrH2
_cell_length_a 3.9814
_cell_length_b 3.9814
_cell_length_c 4.8061
_cell_angle_alpha 90.00
_cell_angle_beta 90.00
_cell_angle_gamma 90.00
_space_group_name_H-M_alt 'P 4/m m m'
_space_group_IT_number 123
_space_group_name_Hall '-P 4 2'
loop_
_atom_site_label
_atom_site_fract_x
_atom_site_fract_y
_atom_site_fract_z
Li1 0.0000 0.0000 0.0000
Ca1 0.5000 0.5000 0.0000
Cr1 0.0000 0.0000 0.5000
H1 0.0000 0.5000 0.5000